(1)
## Rb2AcYS4 (PBE)

Data for Rb2AcYS4 after structural relaxation.

The calculation puts the calculated density at 4.2 g/cm³. As for the space-group type: No. 10. The uncorrected formation energy comes out at -1.85 eV per atom.

Cell: 7.4105 4.2769 8.1043 Å, 90.00 107.64 90.00°
With the nearest neighbours (Å) after each atom.
Sites, in units of the cell vectors:
Rb1 0.0000 0.0000 0.0000  6 S 3.46-3.48
Rb2 0.5000 0.5000 0.0000  6 S 3.33-3.34
Ac1 0.0000 0.5000 0.5000  6 S 2.98
Y1 0.5000 0.0000 0.5000  6 S 2.80-2.84
S1 0.2517 0.0000 0.7002  1 Y 2.80, 2 Ac 2.98
S2 0.2842 0.5000 0.3061  2 Y 2.84, 1 Ac 2.98
S3 0.7158 0.5000 0.6939  2 Y 2.84, 1 Ac 2.98
S4 0.7483 0.0000 0.2998  1 Y 2.80, 2 Ac 2.98

---

(2)
## Rb3Ac2YS6 (PBE)

Data for Rb3Ac2YS6 after structural relaxation.

The calculation puts the calculated density at 4.4 g/cm³. As for the space-group type: No. 12. The uncorrected formation energy comes out at -1.86 eV per atom.

Cell: 7.5160 7.5160 8.1256 Å, 98.88 98.88 120.01°
With the nearest neighbours (Å) after each atom.
Sites, in units of the cell vectors:
Rb1 0.0000 0.0000 0.0000  6 S 3.37-3.53
Rb2 0.3333 0.6667 0.0000  6 S 3.37-3.52
Rb3 0.6667 0.3333 0.0000  6 S 3.37-3.52
Ac1 0.1666 0.8334 0.5000  6 S 3.00
Ac2 0.8334 0.1666 0.5000  6 S 3.00
Y1 0.5000 0.5000 0.5000  6 S 2.82
S1 0.1189 0.4336 0.3010  1 Y 2.82, 2 Ac 3.00
S2 0.2516 0.2516 0.6985  1 Y 2.82, 2 Ac 3.00
S3 0.4336 0.1189 0.3010  1 Y 2.82, 2 Ac 3.00
S4 0.5664 0.8811 0.6990  1 Y 2.82, 2 Ac 3.00
S5 0.7484 0.7484 0.3015  1 Y 2.82, 2 Ac 3.00
S6 0.8811 0.5664 0.6990  1 Y 2.82, 2 Ac 3.00

---

(3)
## Rb3AcY2S6 (PBE)

Data for Rb3AcY2S6 after structural relaxation.

The calculation puts the calculated density at 4.0 g/cm³. As for the space-group type: No. 12. The uncorrected formation energy comes out at -1.85 eV per atom.

Cell: 7.2961 7.2961 8.0915 Å, 98.66 98.66 120.00°
With the nearest neighbours (Å) after each atom.
Sites, in units of the cell vectors:
Rb1 0.0000 0.0000 0.0000  6 S 3.29-3.43
Rb2 0.3350 0.6650 0.0000  6 S 3.30-3.44
Rb3 0.6650 0.3350 0.0000  6 S 3.30-3.44
Ac1 0.5000 0.5000 0.5000  6 S 2.98
Y1 0.1669 0.8331 0.5000  6 S 2.80-2.81
Y2 0.8331 0.1669 0.5000  6 S 2.80-2.81
S1 0.0825 0.4348 0.3047  2 Y 2.80-2.81, 1 Ac 2.98
S2 0.2129 0.2129 0.6951  2 Y 2.81, 1 Ac 2.98
S3 0.4348 0.0825 0.3047  2 Y 2.80-2.81, 1 Ac 2.98
S4 0.5652 0.9175 0.6953  2 Y 2.80-2.81, 1 Ac 2.98
S5 0.7871 0.7871 0.3049  2 Y 2.81, 1 Ac 2.98
S6 0.9175 0.5652 0.6953  2 Y 2.80-2.81, 1 Ac 2.98

---

(4)
## Rb2AcZn2S4 (PBE)

Data for Rb2AcZn2S4 after structural relaxation.

The calculation puts the calculated density at 4.2 g/cm³. As for the space-group type: No. 12. The uncorrected formation energy comes out at -1.15 eV per atom.

Cell: 8.1550 8.1550 8.0133 Å, 109.72 109.72 31.49°
With the nearest neighbours (Å) after each atom.
Sites, in units of the cell vectors:
Rb1 0.1338 0.1338 0.0664  7 S 3.49-3.86, 1 Zn 3.69
Rb2 0.8662 0.8662 0.9336  7 S 3.49-3.86, 1 Zn 3.69
Ac1 0.0000 0.0000 0.5000  6 S 3.01-3.02
Zn1 0.3212 0.3212 0.5012  4 S 2.42-2.51
Zn2 0.6788 0.6788 0.4988  4 S 2.42-2.51
S1 0.2056 0.2056 0.6524  3 Zn 2.50-2.51
S2 0.4711 0.4711 0.7286  1 Zn 2.42
S3 0.5289 0.5289 0.2714  1 Zn 2.42
S4 0.7944 0.7944 0.3476  3 Zn 2.50-2.51